The following is a GGA-PBE calculation of a relaxed CuAsRh2 crystal, from the Alexandria database.

The formation energy from the elements is 0.012 eV per atom. For the total energy, the calculation gives -23.402 eV per cell.

Unit cell a=4.8186 b=4.8186 c=4.8186 alpha=134.23 beta=134.23 gamma=66.72
Atoms (fractional coordinates):
Cu1 0.0000 0.0000 0.0000
As1 0.7500 0.2500 0.5000
Rh1 0.2500 0.7500 0.5000
Rh2 0.5000 0.5000 0.0000

=====

The following is a GGA-PBE calculation of a relaxed TeRuF crystal, from the Alexandria database.

The raw formation energy comes out at -170 kJ/mol of formula units. For the total energy, the calculation gives -32.104 eV per cell.

Unit cell a=3.7661 b=5.8187 c=6.6160 alpha=109.04 beta=101.35 gamma=97.92
Atoms (fractional coordinates):
Te1 0.1313 0.3232 0.2759
Te2 0.8687 0.6768 0.7241
Ru1 0.3223 0.8017 0.5093
Ru2 0.6777 0.1983 0.4907
F1 0.4485 0.1678 0.7569
F2 0.5515 0.8322 0.2431

=====

The following is a GGA-PBE calculation of a relaxed PrNdAlTl crystal, from the Alexandria database.

The formation energy from the elements is -0.363 eV per atom. For the total energy, the calculation gives -17.109 eV per cell. The relative energy among the computed polymorphs is 0 meV per atom.

Unit cell a=3.7986 b=3.7986 c=7.8424 alpha=90.00 beta=90.00 gamma=90.00
Atoms (fractional coordinates):
Pr1 0.0000 0.0000 0.0000
Nd1 0.0000 0.0000 0.4732
Al1 0.5000 0.5000 0.2392
Tl1 0.5000 0.5000 0.7335

=====

The following is a GGA-PBE calculation of a relaxed SiC3 crystal, from the Alexandria database.

The raw formation energy comes out at 1189 kJ/mol of formula units. For the total energy, the calculation gives -20.773 eV per cell. The relative energy among the computed polymorphs is 2582 meV per atom.

Unit cell a=3.6014 b=3.6014 c=3.6014 alpha=60.00 beta=60.00 gamma=60.00
Atoms (fractional coordinates):
Si1 0.0000 0.0000 0.0000
C1 0.2500 0.2500 0.2500
C2 0.5000 0.5000 0.5000
C3 0.7500 0.7500 0.7500

=====

The following is a GGA-PBE calculation of a relaxed Cs2Te5Pb4 crystal, from the Alexandria database.

The raw formation energy comes out at -534 kJ/mol of formula units. For the total energy, the calculation gives -37.781 eV per cell.

Unit cell a=7.7604 b=7.7604 c=9.6537 alpha=109.45 beta=109.45 gamma=68.98
Atoms (fractional coordinates):
Cs1 0.1163 0.1163 0.3677
Cs2 0.8837 0.8837 0.6323
Te1 0.1070 0.5816 0.2760
Te2 0.4184 0.8930 0.7240
Te3 0.5000 0.5000 0.0000
Te4 0.5816 0.1070 0.2760
Te5 0.8930 0.4184 0.7240
Pb1 0.2576 0.2576 0.9943
Pb2 0.4709 0.4709 0.6637
Pb3 0.5291 0.5291 0.3363
Pb4 0.7424 0.7424 0.0057

=====

The following is a GGA-PBE calculation of a relaxed ZrMo2Pd crystal, from the Alexandria database.

The formation energy from the elements is 0.501 eV per atom. For the total energy, the calculation gives -66.802 eV per cell. The relative energy among the computed polymorphs is 232 meV per atom.

Unit cell a=5.9476 b=5.9476 c=5.9476 alpha=101.04 beta=101.04 gamma=128.09
Atoms (fractional coordinates):
Zr1 0.0000 0.0000 0.0000
Zr2 0.7500 0.2500 0.5000
Mo1 0.1495 0.6250 0.0245
Mo2 0.3750 0.3995 0.5245
Mo3 0.6005 0.1250 0.9755
Mo4 0.8750 0.8505 0.4755
Pd1 0.2500 0.7500 0.5000
Pd2 0.5000 0.5000 0.0000

=====

- What is the formula in the first record?
  CuAsRh2

=====

- Number 3 is which compound?
  PrNdAlTl